Ac3PrRh3: optimized geometry, PBE.

Total moment = 0.0000 μB/atom
Calculated volume = 860.7 Å³ per cell
ΔE to the lowest computed polymorph = 0 meV/atom
Formation enthalpy at 0 K = -608 meV/atom
Space group = I4_132, No. 214

Structure (CIF):
```
data_Ac3PrRh3
_space_group_name_H-M_alt 'P 1'
_space_group_IT_number 1
_cell_length_a 10.379
_cell_length_b 10.379
_cell_length_c 10.379
_cell_angle_alpha 109.47
_cell_angle_beta 109.47
_cell_angle_gamma 109.47
loop_
_space_group_symop_operation_xyz
'x,y,z'
loop_
_atom_site_label
_atom_site_fract_x
_atom_site_fract_y
_atom_site_fract_z
_atom_site_occupancy
Pr1 0.750 0.250 0.250 1
Pr2 0.000 0.000 0.250 1
Rh1 0.495 0.505 0.750 1
Ac1 0.988 0.494 0.744 1
Ac2 0.256 0.006 0.012 1
Rh2 0.755 0.245 0.750 1
Ac3 0.750 0.744 0.756 1
Ac4 0.244 0.756 0.250 1
Rh3 0.755 0.509 0.505 1
Ac5 0.994 0.744 0.488 1
Rh4 0.009 0.505 0.255 1
Ac6 0.512 0.756 0.006 1
Rh5 0.005 0.255 0.509 1
Rh6 0.250 0.255 0.245 1
Rh7 0.495 0.991 0.245 1
Rh8 0.250 0.995 0.505 1
Ac7 0.994 0.250 0.006 1
Ac8 0.506 0.012 0.756 1
Rh9 0.745 0.995 0.991 1
Ac9 0.506 0.494 0.250 1
Rh10 0.491 0.245 0.995 1
Rh11 0.745 0.750 0.255 1
Ac10 0.244 0.488 0.494 1
Pr3 0.500 0.250 0.500 1
Ac11 0.750 0.006 0.494 1
Rh12 0.005 0.750 0.995 1
Ac12 0.256 0.250 0.744 1
Pr4 0.750 0.500 0.000 1
```